# 1
Here is crystalline NdEr3Pd at its relaxed geometry from the Alexandria database. Energies are from PBE.

Cell lengths 7.585, 7.585, 7.141 Å; angles 101.87, 115.99, 113.19 degrees
Sites, in units of the cell vectors:
Nd 0.736 0.043 0.779
Nd 0.264 0.957 0.221
Er 0.834 0.100 0.337
Er 0.237 0.503 0.337
Er 0.763 0.497 0.663
Er 0.698 0.425 0.123
Er 0.166 0.900 0.663
Er 0.302 0.575 0.877
Pd 0.653 0.723 0.375
Pd 0.347 0.277 0.625

Computed properties:
- energy relative to the lowest polymorph listed for this composition (eV/atom) = 0.000
- formation energy from the elements (meV per atom) = -282
- space-group type = C2/m (12)

=====

# 2
Here is crystalline Lu2TiHg at its relaxed geometry from the Alexandria database. Energies are from PBE.

Cell lengths 3.377, 3.377, 8.277 Å; angles 90.00, 90.00, 90.00 degrees
Sites, in units of the cell vectors:
Lu 0.000 0.000 0.746
Lu 0.000 0.000 0.254
Hg 0.500 0.500 0.000
Ti 0.500 0.500 0.500

Computed properties:
- energy relative to the lowest polymorph listed for this composition (eV/atom) = 0.000
- formation energy from the elements (meV per atom) = -147
- space-group type = P4/mmm (123)

=====

# 3
Here is crystalline Li6TlPd8 at its relaxed geometry from the Alexandria database. Energies are from PBE.

Cell lengths 6.808, 6.808, 6.808 Å; angles 62.15, 62.15, 62.15 degrees
Sites, in units of the cell vectors:
Li 0.949 0.480 0.715
Li 0.285 0.051 0.520
Li 0.520 0.285 0.051
Li 0.480 0.715 0.949
Li 0.715 0.949 0.480
Li 0.051 0.520 0.285
Tl 0.000 0.000 0.000
Pd 0.126 0.657 0.822
Pd 0.178 0.874 0.343
Pd 0.343 0.178 0.874
Pd 0.584 0.584 0.584
Pd 0.416 0.416 0.416
Pd 0.657 0.822 0.126
Pd 0.822 0.126 0.657
Pd 0.874 0.343 0.178

Computed properties:
- formation energy from the elements (meV per atom) = -286
- space-group type = R-3 (148)

=====

# 4
Here is crystalline Sm3Ho3TmTe8 at its relaxed geometry from the Alexandria database. Energies are from PBE.

Cell lengths 8.727, 8.727, 8.758 Å; angles 119.89, 90.00, 120.00 degrees
Sites, in units of the cell vectors:
Sm 0.000 0.000 0.000
Sm 0.000 0.500 0.000
Sm 0.500 0.500 0.000
Ho 0.500 0.000 0.500
Ho 0.500 0.500 0.500
Ho 0.000 0.500 0.500
Tm 0.000 0.000 0.500
Te 0.253 0.506 0.259
Te 0.747 0.494 0.741
Te 0.748 0.497 0.254
Te 0.252 0.503 0.746
Te 0.748 0.006 0.254
Te 0.252 0.994 0.746
Te 0.258 0.006 0.254
Te 0.742 0.994 0.746

Computed properties:
- total energy (hartree per atom) = -0.1913
- space-group type = R-3m (166)

=====

# 5
Here is crystalline CsRb2InH6 at its relaxed geometry from the Alexandria database. Energies are from PBE.

Cell lengths 6.201, 7.726, 9.073 Å; angles 90.00, 90.00, 90.00 degrees
Sites, in units of the cell vectors:
Cs 0.000 0.666 0.500
Cs 0.500 0.334 0.000
Rb 0.500 0.837 0.219
Rb 0.000 0.163 0.719
Rb 0.500 0.837 0.781
Rb 0.000 0.163 0.281
In 0.500 0.191 0.500
In 0.000 0.809 0.000
H 0.500 0.181 0.285
H 0.500 0.181 0.715
H 0.000 0.819 0.215
H 0.000 0.819 0.785
H 0.278 0.994 0.500
H 0.722 0.994 0.500
H 0.264 0.356 0.500
H 0.736 0.356 0.500
H 0.764 0.644 0.000
H 0.236 0.644 0.000
H 0.222 0.006 0.000
H 0.778 0.006 0.000

Computed properties:
- total energy (hartree per atom) = -0.0966
- space-group type = Pmmn (59)

=====

Q: Number 3 is which compound?
A: Li6TlPd8